UNiIrRu: relaxed, PBE-GGA.

Geometry as extended XYZ:
```
4
Lattice="-0.140 -0.353 4.486 -2.964 -2.772 1.949 1.425 -3.770 2.007" Properties=species:S:1:pos:R:3 pbc="T T T"
Ru -1.259 -5.171 6.331
Ir -0.420 -1.724 2.110
U 0.000 0.000 0.000
Ni -0.839 -3.447 4.221
```

crystal system = cubic



NaSrW3: relaxed, PBE-GGA.

Geometry as extended XYZ:
```
5
Lattice="4.801 0.000 0.000 0.000 4.801 0.000 0.000 0.000 4.801" Properties=species:S:1:pos:R:3 pbc="T T T"
Sr 2.400 2.400 2.400
W 0.000 2.400 0.000
W 0.000 0.000 2.400
W 2.400 0.000 0.000
Na 0.000 0.000 0.000
```

crystal system = cubic



DyHg2Rh: relaxed, PBE-GGA.

Geometry as extended XYZ:
```
4
Lattice="4.890 0.000 0.000 0.000 4.155 0.000 0.000 0.000 4.155" Properties=species:S:1:pos:R:3 pbc="T T T"
Rh 2.445 0.000 0.000
Hg 0.000 0.000 2.077
Hg 0.000 2.077 0.000
Dy 2.445 2.077 2.077
```

crystal system = tetragonal



| no. | ΔE_f (eV/atom) | size of the total moment (μB/cell) |
| --- | --- | --- |
| 1 | -0.12 | 0.635 |
| 2 | 2.94 | 0.075 |
| 3 | -0.29 | 0.000 |